Run w
# CsPrAlSe3

An optimized crystal structure of CsPrAlSe3 (GGA-PBE, OQMD).

```
CsPrAlSe3
1.0
11.6462 0.0000 0.0000
0.0000 4.7387 0.0000
0.0000 0.0000 13.1234
Cs Pr Al Se
4 4 4 12
Direct
0.1638 0.2500 0.0021 Cs
0.3362 0.7500 0.5021 Cs
0.6638 0.2500 0.4979 Cs
0.8362 0.7500 0.9979 Cs
0.0310 0.2500 0.3359 Pr
0.4690 0.7500 0.8359 Pr
0.5310 0.2500 0.1641 Pr
0.9690 0.7500 0.6641 Pr
0.2310 0.2500 0.7211 Al
0.2690 0.7500 0.2211 Al
0.7310 0.2500 0.7789 Al
0.7690 0.7500 0.2789 Al
0.0613 0.7500 0.1886 Se
0.1049 0.2500 0.5646 Se
0.2037 0.7500 0.7888 Se
0.2963 0.2500 0.2888 Se
0.3951 0.7500 0.0646 Se
0.4387 0.2500 0.6886 Se
0.5613 0.7500 0.3114 Se
0.6049 0.2500 0.9354 Se
0.7037 0.7500 0.7112 Se
0.7963 0.2500 0.2112 Se
0.8951 0.7500 0.4354 Se
0.9387 0.2500 0.8114 Se
```

crystal system	orthorhombic

Run x
# CsPrAlSe3

An optimized crystal structure of CsPrAlSe3 (GGA-PBE, OQMD).

```
CsPrAlSe3
1.0
2.2228 -7.9493 0.0000
2.2228 7.9493 0.0000
0.0000 0.0000 11.5715
Cs Pr Al Se
2 2 2 6
Direct
0.2385 0.7615 0.7500 Cs
0.7615 0.2385 0.2500 Cs
0.5000 0.5000 0.0000 Pr
0.5000 0.5000 0.5000 Pr
0.0306 0.9694 0.2500 Al
0.9694 0.0306 0.7500 Al
0.1199 0.8801 0.0775 Se
0.1199 0.8801 0.4225 Se
0.4509 0.5491 0.2500 Se
0.5491 0.4509 0.7500 Se
0.8801 0.1199 0.5775 Se
0.8801 0.1199 0.9225 Se
```

crystal system	orthorhombic

Quick one: most stable of them? run x

Run w
# CsPrAlTe3

An optimized crystal structure of CsPrAlTe3 (GGA-PBE, OQMD).

```
CsPrAlTe3
1.0
2.4631 -8.2383 0.0000
2.4631 8.2383 0.0000
0.0000 0.0000 12.1893
Cs Pr Al Te
2 2 2 6
Direct
0.2443 0.7557 0.7500 Cs
0.7557 0.2443 0.2500 Cs
0.5000 0.5000 0.0000 Pr
0.5000 0.5000 0.5000 Pr
0.0221 0.9779 0.2500 Al
0.9779 0.0221 0.7500 Al
0.1199 0.8801 0.0700 Te
0.1199 0.8801 0.4300 Te
0.4440 0.5560 0.2500 Te
0.5560 0.4440 0.7500 Te
0.8801 0.1199 0.5700 Te
0.8801 0.1199 0.9300 Te
```

crystal system	orthorhombic

Run x
# CsPrAlTe3

An optimized crystal structure of CsPrAlTe3 (GGA-PBE, OQMD).

```
CsPrAlTe3
1.0
12.4221 0.0000 0.0000
0.0000 5.1441 0.0000
0.0000 0.0000 13.8652
Cs Pr Al Te
4 4 4 12
Direct
0.1746 0.2500 0.0048 Cs
0.3254 0.7500 0.5048 Cs
0.6746 0.2500 0.4952 Cs
0.8254 0.7500 0.9952 Cs
0.0295 0.2500 0.3300 Pr
0.4705 0.7500 0.8300 Pr
0.5295 0.2500 0.1700 Pr
0.9705 0.7500 0.6700 Pr
0.2317 0.2500 0.7218 Al
0.2683 0.7500 0.2218 Al
0.7317 0.2500 0.7782 Al
0.7683 0.7500 0.2782 Al
0.0555 0.7500 0.1832 Te
0.0966 0.2500 0.5634 Te
0.2058 0.7500 0.7919 Te
0.2942 0.2500 0.2919 Te
0.4034 0.7500 0.0634 Te
0.4445 0.2500 0.6832 Te
0.5555 0.7500 0.3168 Te
0.5966 0.2500 0.9366 Te
0.7058 0.7500 0.7081 Te
0.7942 0.2500 0.2081 Te
0.9034 0.7500 0.4366 Te
0.9445 0.2500 0.8168 Te
```

crystal system	orthorhombic

Quick one: most stable of them? run w

Run w
# CsSmAlSe3

An optimized crystal structure of CsSmAlSe3 (GGA-PBE, OQMD).

```
CsSmAlSe3
1.0
2.1967 -7.9709 0.0000
2.1967 7.9709 0.0000
0.0000 0.0000 11.3166
Cs Sm Al Se
2 2 2 6
Direct
0.2387 0.7613 0.7500 Cs
0.7613 0.2387 0.2500 Cs
0.5000 0.5000 0.0000 Sm
0.5000 0.5000 0.5000 Sm
0.0306 0.9694 0.2500 Al
0.9694 0.0306 0.7500 Al
0.1184 0.8816 0.0731 Se
0.1184 0.8816 0.4269 Se
0.4504 0.5496 0.2500 Se
0.5496 0.4504 0.7500 Se
0.8816 0.1184 0.5731 Se
0.8816 0.1184 0.9269 Se
```

crystal system	orthorhombic

Run x
# CsSmAlSe3

An optimized crystal structure of CsSmAlSe3 (GGA-PBE, OQMD).

```
CsSmAlSe3
1.0
11.5819 0.0000 0.0000
0.0000 4.7328 0.0000
0.0000 0.0000 13.0211
Cs Sm Al Se
4 4 4 12
Direct
0.1660 0.2500 0.0024 Cs
0.3340 0.7500 0.5024 Cs
0.6660 0.2500 0.4976 Cs
0.8340 0.7500 0.9976 Cs
0.0309 0.2500 0.3346 Sm
0.4691 0.7500 0.8346 Sm
0.5309 0.2500 0.1654 Sm
0.9691 0.7500 0.6654 Sm
0.2291 0.2500 0.7212 Al
0.2709 0.7500 0.2212 Al
0.7291 0.2500 0.7788 Al
0.7709 0.7500 0.2788 Al
0.0603 0.7500 0.1894 Se
0.0983 0.2500 0.5648 Se
0.2048 0.7500 0.7881 Se
0.2952 0.2500 0.2881 Se
0.4017 0.7500 0.0648 Se
0.4397 0.2500 0.6894 Se
0.5603 0.7500 0.3106 Se
0.5983 0.2500 0.9352 Se
0.7048 0.7500 0.7119 Se
0.7952 0.2500 0.2119 Se
0.9017 0.7500 0.4352 Se
0.9397 0.2500 0.8106 Se
```

crystal system	orthorhombic

Quick one: most stable of them? run w

Run w
# CsTbAlTe3

An optimized crystal structure of CsTbAlTe3 (GGA-PBE, OQMD).

```
CsTbAlTe3
1.0
12.1019 0.0000 0.0000
0.0000 5.1335 0.0000
0.0000 0.0000 13.7023
Cs Tb Al Te
4 4 4 12
Direct
0.1777 0.2500 0.0078 Cs
0.3223 0.7500 0.5078 Cs
0.6777 0.2500 0.4922 Cs
0.8223 0.7500 0.9922 Cs
0.0291 0.2500 0.3273 Tb
0.4709 0.7500 0.8273 Tb
0.5291 0.2500 0.1727 Tb
0.9709 0.7500 0.6727 Tb
0.2247 0.2500 0.7242 Al
0.2753 0.7500 0.2242 Al
0.7247 0.2500 0.7758 Al
0.7753 0.7500 0.2758 Al
0.0561 0.7500 0.1868 Te
0.0878 0.2500 0.5631 Te
0.2041 0.7500 0.7952 Te
0.2959 0.2500 0.2952 Te
0.4122 0.7500 0.0631 Te
0.4439 0.2500 0.6868 Te
0.5561 0.7500 0.3132 Te
0.5878 0.2500 0.9369 Te
0.7041 0.7500 0.7048 Te
0.7959 0.2500 0.2048 Te
0.9122 0.7500 0.4369 Te
0.9439 0.2500 0.8132 Te
```

crystal system	orthorhombic

Run x
# CsTbAlTe3

An optimized crystal structure of CsTbAlTe3 (GGA-PBE, OQMD).

```
CsTbAlTe3
1.0
2.4278 -8.2942 0.0000
2.4278 8.2942 0.0000
0.0000 0.0000 11.7308
Cs Tb Al Te
2 2 2 6
Direct
0.2458 0.7542 0.7500 Cs
0.7542 0.2458 0.2500 Cs
0.5000 0.5000 0.0000 Tb
0.5000 0.5000 0.5000 Tb
0.0200 0.9800 0.2500 Al
0.9800 0.0200 0.7500 Al
0.1165 0.8835 0.0628 Te
0.1165 0.8835 0.4372 Te
0.4420 0.5580 0.2500 Te
0.5580 0.4420 0.7500 Te
0.8835 0.1165 0.5628 Te
0.8835 0.1165 0.9372 Te
```

crystal system	orthorhombic

Quick one: most stable of them? run x

Run w
# LiAl2FeCu4

An optimized crystal structure of LiAl2FeCu4 (GGA-PBE, OQMD).

```
LiAl2FeCu4
1.0
-2.8772 2.8772 5.8352
2.8772 -2.8772 5.8352
2.8772 2.8772 -5.8352
Li Al Fe Cu
2 4 2 8
Direct
0.3750 0.6250 0.7500 Li
0.6250 0.3750 0.2500 Li
0.1226 0.3726 0.7500 Al
0.3726 0.1226 0.2500 Al
0.6274 0.8774 0.7500 Al
0.8774 0.6274 0.2500 Al
0.1250 0.8750 0.2500 Fe
0.8750 0.1250 0.7500 Fe
0.0000 0.2520 0.2520 Cu
0.0000 0.7480 0.7480 Cu
0.2520 0.0000 0.7520 Cu
0.2520 0.5000 0.2520 Cu
0.5000 0.2520 0.7520 Cu
0.5000 0.7480 0.2480 Cu
0.7480 0.0000 0.2480 Cu
0.7480 0.5000 0.7480 Cu
```

crystal system	tetragonal

Run x
# LiAl2FeCu4

An optimized crystal structure of LiAl2FeCu4 (GGA-PBE, OQMD).

```
LiAl2FeCu4
1.0
4.0714 0.0000 0.0000
0.0000 4.0714 0.0000
0.0000 0.0000 5.9335
Li Al Fe Cu
1 2 1 4
Direct
0.0000 0.0000 0.0000 Li
0.0000 0.0000 0.5000 Al
0.5000 0.5000 0.0000 Al
0.5000 0.5000 0.5000 Fe
0.0000 0.5000 0.2491 Cu
0.0000 0.5000 0.7509 Cu
0.5000 0.0000 0.2491 Cu
0.5000 0.0000 0.7509 Cu
```

crystal system	tetragonal

Quick one: most stable of them? run x

Run w
# ScAl2FeCu4

An optimized crystal structure of ScAl2FeCu4 (GGA-PBE, OQMD).

```
ScAl2FeCu4
1.0
4.2052 0.0000 0.0000
0.0000 4.2052 0.0000
0.0000 0.0000 6.0335
Sc Al Fe Cu
1 2 1 4
Direct
0.0000 0.0000 0.0000 Sc
0.0000 0.0000 0.5000 Al
0.5000 0.5000 0.0000 Al
0.5000 0.5000 0.5000 Fe
0.0000 0.5000 0.2665 Cu
0.0000 0.5000 0.7335 Cu
0.5000 0.0000 0.2665 Cu
0.5000 0.0000 0.7335 Cu
```

crystal system	tetragonal

Run x
# ScAl2FeCu4

An optimized crystal structure of ScAl2FeCu4 (GGA-PBE, OQMD).

```
ScAl2FeCu4
1.0
-2.9719 2.9719 6.0333
2.9719 -2.9719 6.0333
2.9719 2.9719 -6.0333
Sc Al Fe Cu
2 4 2 8
Direct
0.3750 0.6250 0.7500 Sc
0.6250 0.3750 0.2500 Sc
0.1313 0.3813 0.7500 Al
0.3813 0.1313 0.2500 Al
0.6187 0.8687 0.7500 Al
0.8687 0.6187 0.2500 Al
0.1250 0.8750 0.2500 Fe
0.8750 0.1250 0.7500 Fe
0.0000 0.2276 0.2276 Cu
0.0000 0.7724 0.7724 Cu
0.2276 0.0000 0.7276 Cu
0.2276 0.5000 0.2276 Cu
0.5000 0.2276 0.7276 Cu
0.5000 0.7724 0.2724 Cu
0.7724 0.0000 0.2724 Cu
0.7724 0.5000 0.7724 Cu
```

crystal system	tetragonal

Quick one: most stable of them? run w

Run w
# AlFeCuSe4

An optimized crystal structure of AlFeCuSe4 (GGA-PBE, OQMD).

```
AlFeCuSe4
1.0
7.2748 0.0000 0.0000
0.0000 7.2748 0.0000
0.0000 0.0000 10.2529
Al Fe Cu Se
4 4 4 16
Direct
0.0000 0.2473 0.0000 Al
0.0000 0.7527 0.5000 Al
0.2473 0.0000 0.7500 Al
0.7527 0.0000 0.2500 Al
0.2483 0.5000 0.7500 Fe
0.5000 0.2483 0.0000 Fe
0.5000 0.7517 0.5000 Fe
0.7517 0.5000 0.2500 Fe
0.2581 0.2581 0.3750 Cu
0.2581 0.7419 0.1250 Cu
0.7419 0.2581 0.6250 Cu
0.7419 0.7419 0.8750 Cu
0.0203 0.2626 0.7500 Se
0.0203 0.7374 0.7500 Se
0.2626 0.0203 0.0000 Se
0.2626 0.9797 0.5000 Se
0.2654 0.4824 0.9820 Se
0.2654 0.5176 0.5180 Se
0.4824 0.2654 0.7680 Se
0.4824 0.7346 0.7320 Se
0.5176 0.2654 0.2320 Se
0.5176 0.7346 0.2680 Se
0.7346 0.4824 0.0180 Se
0.7346 0.5176 0.4820 Se
0.7374 0.0203 0.0000 Se
0.7374 0.9797 0.5000 Se
0.9797 0.2626 0.2500 Se
0.9797 0.7374 0.2500 Se
```

crystal system	tetragonal

Run x
# AlFeCuSe4

An optimized crystal structure of AlFeCuSe4 (GGA-PBE, OQMD).

```
AlFeCuSe4
1.0
7.3371 0.0000 0.0000
0.0000 7.3371 0.0000
0.0000 0.0000 10.3448
Al Fe Cu Se
4 4 4 16
Direct
0.2429 0.2429 0.3750 Al
0.2429 0.7571 0.1250 Al
0.7571 0.2429 0.6250 Al
0.7571 0.7571 0.8750 Al
0.0000 0.2534 0.0000 Fe
0.0000 0.7466 0.5000 Fe
0.2534 0.0000 0.7500 Fe
0.7466 0.0000 0.2500 Fe
0.2478 0.5000 0.7500 Cu
0.5000 0.2478 0.0000 Cu
0.5000 0.7522 0.5000 Cu
0.7522 0.5000 0.2500 Cu
0.0252 0.2391 0.7668 Se
0.0252 0.7609 0.7332 Se
0.2391 0.0252 0.9832 Se
0.2391 0.9748 0.5168 Se
0.2400 0.4796 0.9962 Se
0.2400 0.5204 0.5038 Se
0.4796 0.2400 0.7538 Se
0.4796 0.7600 0.7462 Se
0.5204 0.2400 0.2462 Se
0.5204 0.7600 0.2538 Se
0.7600 0.4796 0.0038 Se
0.7600 0.5204 0.4962 Se
0.7609 0.0252 0.0168 Se
0.7609 0.9748 0.4832 Se
0.9748 0.2391 0.2332 Se
0.9748 0.7609 0.2668 Se
```

crystal system	tetragonal

Quick one: most stable of them? run w

Run w
# Al2ZnFeCu4

An optimized crystal structure of Al2ZnFeCu4 (GGA-PBE, OQMD).

```
Al2ZnFeCu4
1.0
-2.9130 2.9130 5.8545
2.9130 -2.9130 5.8545
2.9130 2.9130 -5.8545
Al Zn Fe Cu
4 2 2 8
Direct
0.1198 0.3698 0.7500 Al
0.3698 0.1198 0.2500 Al
0.6302 0.8802 0.7500 Al
0.8802 0.6302 0.2500 Al
0.3750 0.6250 0.7500 Zn
0.6250 0.3750 0.2500 Zn
0.1250 0.8750 0.2500 Fe
0.8750 0.1250 0.7500 Fe
0.0000 0.2511 0.2511 Cu
0.0000 0.7489 0.7489 Cu
0.2511 0.0000 0.7511 Cu
0.2511 0.5000 0.2511 Cu
0.5000 0.2511 0.7511 Cu
0.5000 0.7489 0.2489 Cu
0.7489 0.0000 0.2489 Cu
0.7489 0.5000 0.7489 Cu
```

crystal system	tetragonal

Run x
# Al2ZnFeCu4

An optimized crystal structure of Al2ZnFeCu4 (GGA-PBE, OQMD).

```
Al2ZnFeCu4
1.0
4.0559 0.0000 0.0000
0.0000 4.0559 0.0000
0.0000 0.0000 6.1513
Al Zn Fe Cu
2 1 1 4
Direct
0.0000 0.0000 0.0000 Al
0.5000 0.5000 0.5000 Al
0.0000 0.0000 0.5000 Zn
0.5000 0.5000 0.0000 Fe
0.0000 0.5000 0.2486 Cu
0.0000 0.5000 0.7514 Cu
0.5000 0.0000 0.2486 Cu
0.5000 0.0000 0.7514 Cu
```

crystal system	tetragonal

Quick one: most stable of them? run x

Run w
# AlZnFeCu

An optimized crystal structure of AlZnFeCu (GGA-PBE, OQMD).

```
AlZnFeCu
1.0
0.0000 2.9044 2.9044
2.9044 0.0000 2.9044
2.9044 2.9044 0.0000
Al Zn Fe Cu
1 1 1 1
Direct
0.0000 0.0000 0.0000 Al
0.5000 0.5000 0.5000 Zn
0.7500 0.7500 0.7500 Fe
0.2500 0.2500 0.2500 Cu
```

crystal system	cubic

Run x
# AlZnFeCu

An optimized crystal structure of AlZnFeCu (GGA-PBE, OQMD).

```
AlZnFeCu
1.0
0.0000 2.9146 2.9146
2.9146 0.0000 2.9146
2.9146 2.9146 0.0000
Al Zn Fe Cu
1 1 1 1
Direct
0.0000 0.0000 0.0000 Al
0.2500 0.2500 0.2500 Zn
0.7500 0.7500 0.7500 Fe
0.5000 0.5000 0.5000 Cu
```

crystal system	cubic

Quick one: most stable of them? run w